MnFeP2O: optimized geometry, PBE+U. Values from VASP.

Geometry as Quantum ESPRESSO input:
```
&SYSTEM
  ibrav = 0, nat = 5, ntyp = 4
/
ATOMIC_SPECIES
Mn 54.94 Mn.upf
Fe 55.84 Fe.upf
P 30.97 P.upf
O 16.00 O.upf
ATOMIC_POSITIONS crystal
Mn 0.000 0.000 0.000
Fe 0.500 0.500 0.500
P 0.000 0.500 0.000
P 0.500 0.000 0.000
O 0.000 0.000 0.500
CELL_PARAMETERS angstrom
4.829 0.000 0.000
0.000 4.829 0.000
0.000 0.000 3.550
```

Computed properties:
Crystal system: tetragonal
Total magnetic moment, μB/cell: 5.94
Raw total energy, eV/f.u.: -27.196
Space group: P4/mmm